No. 1
Th2CuSi4Pd3 (PBE, optimized geometry); M_tot = 0.00 μB/atom; final energy = -64.4 eV/cell; E_form (uncorrected) = -823 meV/atom
1.0
4.256 0.000 0.000
0.000 4.256 0.000
0.000 0.000 9.864
Th Cu Si Pd
2 1 4 3
direct
0.000 0.500 0.248
0.500 0.000 0.752
0.500 0.500 0.000
0.000 0.000 0.500
0.000 0.500 0.870
0.500 0.000 0.130
0.500 0.500 0.500
0.000 0.000 0.000
0.000 0.500 0.621
0.500 0.000 0.379

No. 2
Tm3CuSi6Pd2 (PBE, optimized geometry); M_tot = 0.00 μB/atom; final energy = -65.7 eV/cell; E_form (uncorrected) = -439 meV/atom
1.0
5.230 0.000 0.000
-2.615 4.529 0.000
0.000 0.000 9.084
Tm Cu Si Pd
3 1 6 2
direct
0.000 0.000 0.000
0.333 0.667 0.575
0.667 0.333 0.425
0.000 0.000 0.500
0.166 0.332 0.281
0.166 0.834 0.281
0.332 0.166 0.719
0.668 0.834 0.281
0.834 0.166 0.719
0.834 0.668 0.719
0.333 0.667 0.067
0.667 0.333 0.933

No. 3
TmCuSi2Pd (PBE, optimized geometry); M_tot = 0.00 μB/atom; final energy = -28.3 eV/cell; E_form (uncorrected) = -748 meV/atom
1.0
-2.002 2.002 5.074
2.002 -2.002 5.074
2.002 2.002 -5.074
Tm Cu Si Pd
1 1 2 1
direct
0.000 0.000 0.000
0.750 0.250 0.500
0.386 0.386 0.000
0.614 0.614 0.000
0.250 0.750 0.500

No. 4
Tm2CuSi4Pd3 (PBE, optimized geometry); M_tot = 0.00 μB/atom; final energy = -58.0 eV/cell; E_form (uncorrected) = -767 meV/atom
1.0
4.052 0.000 0.000
0.000 4.052 0.000
0.000 0.000 10.228
Tm Cu Si Pd
2 1 4 3
direct
0.000 0.500 0.242
0.500 0.000 0.758
0.500 0.500 0.000
0.000 0.000 0.500
0.000 0.500 0.866
0.500 0.000 0.134
0.500 0.500 0.500
0.000 0.000 0.000
0.000 0.500 0.632
0.500 0.000 0.368

No. 5
YCuSi2Pd (PBE, optimized geometry); M_tot = 0.00 μB/atom; final energy = -30.5 eV/cell; E_form (uncorrected) = -775 meV/atom
1.0
-2.020 2.020 5.081
2.020 -2.020 5.081
2.020 2.020 -5.081
Y Cu Si Pd
1 1 2 1
direct
0.000 0.000 0.000
0.250 0.750 0.500
0.385 0.385 0.000
0.615 0.615 0.000
0.750 0.250 0.500

No. 6
YCuSiPd2 (PBE, optimized geometry); M_tot = 0.00 μB/atom; final energy = -21.0 eV/cell; E_form (uncorrected) = 1066 meV/atom
1.0
5.024 0.000 0.000
0.000 5.024 0.000
0.000 0.000 5.014
Y Cu Si Pd
1 1 1 2
direct
0.000 0.000 0.000
0.000 0.000 0.500
0.500 0.500 0.500
0.000 0.500 0.000
0.500 0.000 0.000

No. 7
ZnCuSiPd (PBE, optimized geometry); M_tot = 0.00 μB/atom; final energy = -16.8 eV/cell; E_form (uncorrected) = -206 meV/atom
1.0
0.000 3.014 3.014
3.014 0.000 3.014
3.014 3.014 0.000
Zn Cu Si Pd
1 1 1 1
direct
0.000 0.000 0.000
0.250 0.250 0.250
0.500 0.500 0.500
0.750 0.750 0.750

No. 8
Zn2CuSi2Pd5 (PBE, optimized geometry); M_tot = 0.00 μB/atom; final energy = -93.8 eV/cell; E_form (uncorrected) = -343 meV/atom
1.0
9.303 0.000 0.000
0.000 9.303 0.000
0.000 0.000 3.487
Zn Cu Si Pd
4 2 4 10
direct
0.167 0.333 0.000
0.333 0.833 0.000
0.667 0.167 0.000
0.833 0.667 0.000
0.000 0.000 0.000
0.500 0.500 0.000
0.134 0.634 0.000
0.366 0.134 0.000
0.634 0.866 0.000
0.866 0.366 0.000
0.000 0.500 0.500
0.091 0.806 0.500
0.194 0.091 0.500
0.306 0.591 0.500
0.409 0.306 0.500
0.500 0.000 0.500
0.591 0.694 0.500
0.694 0.409 0.500
0.806 0.909 0.500
0.909 0.194 0.500